This record from the Alexandria database describes a relaxed structure of CrInB2F8. The functional is GGA+U.

a b c (Å): 5.9131 5.9131 6.5400
angles (deg): 90.00 90.00 120.00
Space group P-3m1 (No. 164)
Unique sites:
Cr 0.0000 0.0000 0.0000 x1
In 0.0000 0.0000 0.5000 x1
B 0.3333 0.6667 0.7438 x2
F 0.2026 0.4052 0.8183 x6
F 0.3333 0.6667 0.5297 x2

Computed properties:
* mass density: 2.855 g/cm3
* calculated volume: 16.50 Å³/atom
* energy: -67.92 eV/f.u.
* magnetic moment: 5.000 Bohr magnetons per cell